CeTl6Br8 | PBE | relaxed

The calculation puts the volume at 567.2 Å³/cell. The magnetic moment is 1.58 μB per cell. Its crystal system is trigonal.

Unit cell a=6.636 b=9.934 c=9.934 alpha=120.00 beta=90.00 gamma=90.00
Atoms (fractional coordinates):
Tl (0.269, 0.398, 0.999)
Tl (0.731, 0.602, 0.001)
Tl (0.269, 0.601, 0.602)
Tl (0.269, 0.001, 0.399)
Tl (0.731, 0.999, 0.601)
Tl (0.731, 0.399, 0.398)
Br (0.255, 0.753, 0.000)
Br (0.255, 0.248, 0.247)
Br (0.500, 0.333, 0.667)
Br (0.745, 0.247, 0.000)
Br (0.500, 0.667, 0.333)
Br (0.745, 0.000, 0.248)
Br (0.255, 0.000, 0.752)
Br (0.745, 0.752, 0.753)
Ce (0.500, 0.000, 0.000)



BaSi2Se | PBE | relaxed

The calculation puts the volume at 101.2 Å³/cell. The magnetic moment is 0.00 μB per cell. Its crystal system is orthorhombic. The polymorph energy (0 for the lowest one) is 0.4227 eV per atom.

Unit cell a=3.928 b=3.892 c=6.620 alpha=90.00 beta=90.00 gamma=90.00
Atoms (fractional coordinates):
Se (0.500, 0.500, 0.750)
Ba (0.500, 0.500, 0.250)
Si (0.000, 0.000, 0.579)
Si (0.000, 0.000, 0.921)



SrGaAgF2 | PBE | relaxed

The calculation puts the volume at 127.6 Å³/cell. The magnetic moment is 0.00 μB per cell. Its crystal system is tetragonal.

Unit cell a=4.392 b=6.618 c=4.392 alpha=90.00 beta=90.00 gamma=90.00
Atoms (fractional coordinates):
Ag (0.500, 0.500, 0.500)
Ga (0.000, 0.000, 0.000)
Sr (0.000, 0.500, 0.000)
F (0.500, 0.000, 0.000)
F (0.000, 0.000, 0.500)



Number 1: uncorrected formation energy -14.56 eV per formula unit. Number 2: uncorrected formation energy -0.16 eV per formula unit. Number 3: uncorrected formation energy -5.39 eV per formula unit.